(1)
First-principles (PBE) data for a relaxed structure of Dy6BiAs2S3, as listed in Alexandria via LeMat-Bulk.

extended XYZ file:
```
12
Lattice="8.8777 -2.0395 0.0000 8.8777 2.0395 0.0000 -1.8131 0.0000 7.9611" Properties=species:S:1:pos:R:3 pbc="T T T"
Dy 17.3377 0.0000 1.7962
Dy -1.3953 0.0000 6.1648
Dy 5.0181 0.0000 3.2642
Dy 4.2418 0.0000 7.3005
Dy 11.7005 0.0000 0.6606
Dy 10.9242 0.0000 4.6969
Bi 7.9712 0.0000 3.9805
As 1.4569 0.0000 6.6370
As 14.4855 0.0000 1.3241
S 2.3220 0.0000 2.6408
S 8.8777 0.0000 0.0000
S 13.6204 0.0000 5.3203
```

Output
**Crystal system**: monoclinic
**E_tot**: -6.055 eV per atom
**Calculated volume**: 24.02 A^3/atom
**Raw formation energy**: -156.7 kJ/mol of atoms



(2)
First-principles (PBE) data for a relaxed structure of Dy4BiAsS2, as listed in Alexandria via LeMat-Bulk.

extended XYZ file:
```
8
Lattice="7.0814 0.0000 0.0000 0.0000 4.1050 0.0000 -2.3942 0.0000 6.7574" Properties=species:S:1:pos:R:3 pbc="T T T"
Dy 1.0656 0.0000 1.5244
Dy -0.1250 2.0525 5.1421
Dy 4.8121 2.0525 1.6153
Dy 3.6215 0.0000 5.2330
Bi 2.3436 2.0525 3.3787
As 3.5407 0.0000 0.0000
S -1.1971 0.0000 3.3787
S 0.0000 2.0525 0.0000
```

Output
**Crystal system**: monoclinic
**E_tot**: -5.943 eV per atom
**Calculated volume**: 24.55 A^3/atom
**Raw formation energy**: -149.0 kJ/mol of atoms



(3)
First-principles (PBE) data for a relaxed structure of Dy4BiSb2As, as listed in Alexandria via LeMat-Bulk.

extended XYZ file:
```
8
Lattice="7.5166 0.0000 0.0000 0.0000 4.3342 0.0000 -2.4978 0.0000 7.1163" Properties=species:S:1:pos:R:3 pbc="T T T"
Dy 1.2147 0.0000 1.6831
Dy -0.0390 2.1671 5.4099
Dy 5.0579 2.1671 1.7065
Dy 3.8041 0.0000 5.4332
Bi -1.2489 0.0000 3.5582
Sb 3.7583 0.0000 0.0000
Sb 2.5094 2.1671 3.5582
As 0.0000 2.1671 0.0000
```

Output
**Crystal system**: monoclinic
**E_tot**: -5.532 eV per atom
**Calculated volume**: 28.98 A^3/atom
**Raw formation energy**: -109.4 kJ/mol of atoms



(4)
First-principles (PBE) data for a relaxed structure of Dy4Bi2SbAs, as listed in Alexandria via LeMat-Bulk.

extended XYZ file:
```
8
Lattice="7.5544 0.0000 0.0000 0.0000 4.3432 0.0000 -2.4967 0.0000 7.1672" Properties=species:S:1:pos:R:3 pbc="T T T"
Dy 1.2019 0.0000 1.6630
Dy -0.0490 2.1716 5.4643
Dy 5.1067 2.1716 1.7029
Dy 3.8558 0.0000 5.5042
Bi -1.2484 0.0000 3.5836
Bi 2.5288 2.1716 3.5836
Sb 3.7772 0.0000 0.0000
As 0.0000 2.1716 0.0000
```

Output
**Crystal system**: monoclinic
**E_tot**: -5.439 eV per atom
**Calculated volume**: 29.40 A^3/atom
**Raw formation energy**: -103.3 kJ/mol of atoms



(5)
First-principles (PBE) data for a relaxed structure of Dy6Bi3SbAs2, as listed in Alexandria via LeMat-Bulk.

extended XYZ file:
```
12
Lattice="9.4777 -2.1594 0.0000 9.4777 2.1594 0.0000 -2.0819 0.0000 8.4725" Properties=species:S:1:pos:R:3 pbc="T T T"
Dy -0.3679 0.0000 2.1244
Dy 5.3138 0.0000 3.6385
Dy 4.4207 0.0000 7.6201
Dy 12.4528 0.0000 0.8525
Dy 11.5597 0.0000 4.8341
Dy 17.2415 0.0000 6.3481
Bi 1.3707 0.0000 7.0455
Bi 8.4368 0.0000 4.2363
Bi 15.5029 0.0000 1.4270
Sb 9.4777 0.0000 0.0000
As 2.4914 0.0000 2.8400
As 14.3822 0.0000 5.6325
```

Output
**Crystal system**: monoclinic
**E_tot**: -5.496 eV per atom
**Calculated volume**: 28.90 A^3/atom
**Raw formation energy**: -106.7 kJ/mol of atoms



(6)
First-principles (PBE) data for a relaxed structure of Dy4BiAs2Se, as listed in Alexandria via LeMat-Bulk.

extended XYZ file:
```
8
Lattice="7.2571 0.0000 0.0000 0.0000 4.1881 0.0000 -2.4067 0.0000 6.9112" Properties=species:S:1:pos:R:3 pbc="T T T"
Dy 1.1708 0.0000 1.5918
Dy -0.0246 2.0940 5.2978
Dy 4.8750 2.0940 1.6134
Dy 3.6796 0.0000 5.3195
Bi 2.4252 2.0940 3.4556
As 0.0000 2.0940 0.0000
As 3.6286 0.0000 0.0000
Se -1.2033 0.0000 3.4556
```

Output
**Crystal system**: monoclinic
**E_tot**: -5.821 eV per atom
**Calculated volume**: 26.26 A^3/atom
**Raw formation energy**: -138.6 kJ/mol of atoms



- Look up the E_tot of the fifth one.
  -5.496 eV per atom



- Which value of calculated volume does entry 2 give?
  24.55 A^3/atom